VASP calculation (PBE) on an optimized crystal structure of Ca3PrTe4.

## Properties
V   260.60 Å³/cell
Formation energy without anion corrections   -1.58 eV/atom
Total moment   0.00 μB/cell
SG   No. 65
Electronic total energy   -4.495 eV/atom

abc: 4.4975 7.8360 7.8360
angles: 109.33 90.00 90.00
Element x y z (fractional)
Te: 0.0000 0.2541 0.2541
Ca: 0.0000 0.5000 0.0000
Te: 0.0000 0.7459 0.7459
Pr: 0.5000 0.0000 0.0000
Ca: 0.0000 0.0000 0.5000
Ca: 0.5000 0.5000 0.5000
Te: 0.5000 0.7484 0.2516
Te: 0.5000 0.2516 0.7484

---

VASP calculation (PBE) on an optimized crystal structure of CaPr4Te5.

## Properties
V   328.29 Å³/cell
Relative energy among the computed polymorphs   0 meV/atom
Formation energy without anion corrections   -1.48 eV/atom
Total moment   0.00 μB/cell
SG   No. 139
Electronic total energy   -5.161 eV/atom

abc: 4.5135 4.5135 16.4282
angles: 97.90 97.90 90.00
Element x y z (fractional)
Pr: 0.3963 0.3963 0.7926
Ca: 0.0000 0.0000 0.0000
Pr: 0.8038 0.8038 0.6076
Te: 0.7029 0.7029 0.4057
Te: 0.9030 0.9030 0.8060
Te: 0.2971 0.2971 0.5943
Te: 0.5000 0.5000 0.0000
Te: 0.0970 0.0970 0.1940
Pr: 0.6037 0.6037 0.2074
Pr: 0.1962 0.1962 0.3924

---

VASP calculation (PBE) on an optimized crystal structure of CaPr5Te8.

## Properties
V   443.75 Å³/cell
Formation energy without anion corrections   -1.47 eV/atom
Total moment   0.00 μB/cell
SG   No. 82
Electronic total energy   -5.120 eV/atom

abc: 8.3227 8.3227 8.3227
angles: 109.71 108.99 109.71
Element x y z (fractional)
Te: 0.2778 0.2522 0.3814
Pr: 0.8739 0.8731 0.2438
Pr: 0.3707 0.1269 0.0008
Te: 0.6304 0.3993 0.8784
Te: 0.4791 0.6007 0.2311
Pr: 0.7562 0.6301 0.6293
Te: 0.7689 0.2480 0.3696
Te: 0.1292 0.7478 0.0257
Te: 0.9743 0.1036 0.7222
Pr: 0.9992 0.3699 0.1261
Ca: 0.2500 0.5000 0.7500
Pr: 0.5000 0.0000 0.5000
Te: 0.1216 0.7520 0.5209
Te: 0.6186 0.8964 0.8708

---

VASP calculation (PBE) on an optimized crystal structure of Ca2PrTe4.

## Properties
V   487.59 Å³/cell
Formation energy without anion corrections   -1.34 eV/atom
Total moment   0.00 μB/cell
SG   No. 63
Electronic total energy   -4.389 eV/atom

abc: 4.3503 7.6133 15.3620
angles: 90.00 90.00 106.60
Element x y z (fractional)
Te: 0.2137 0.4274 0.6226
Ca: 0.1356 0.2713 0.4306
Te: 0.7863 0.5726 0.3774
Te: 0.2137 0.4274 0.8774
Te: 0.5000 0.0000 0.5000
Ca: 0.8644 0.7287 0.5694
Te: 0.0429 0.0859 0.2500
Te: 0.7863 0.5726 0.1226
Te: 0.5000 0.0000 0.0000
Pr: 0.3838 0.7676 0.2500
Ca: 0.1356 0.2713 0.0694
Ca: 0.8644 0.7287 0.9306
Te: 0.9571 0.9141 0.7500
Pr: 0.6162 0.2324 0.7500